Here is crystalline CePr6NdDy2 at its relaxed geometry from Alexandria. Energies are from PBE.

Properties
Energy relative to the elements: 0.229 eV/atom
Total moment: 1.22 μB per formula unit
E: -4.629 eV per atom

a b c (Å): 6.687 6.687 8.994
angles (deg): 100.35 100.35 63.96
Positions (direct):
Ce: 0.000 0.000 0.000
Pr: 0.095 0.566 0.201
Pr: 0.130 0.130 0.418
Pr: 0.434 0.905 0.799
Pr: 0.566 0.095 0.201
Pr: 0.870 0.870 0.582
Pr: 0.905 0.434 0.799
Nd: 0.500 0.500 0.500
Dy: 0.407 0.407 0.844
Dy: 0.593 0.593 0.156